## OsRuPbO6 (PBE)

Data for crystalline OsRuPbO6 at its relaxed geometry.

Calculated values
ΔE_f (raw): -8.23 eV/f.u.
Volume: 14.73 Å³/atom
SG: Imma (74)

Cell lengths 7.2303, 7.2303, 7.2303 Å; angles 120.95, 120.12, 89.08 degrees
Sites, in units of the cell vectors:
Os  0.0000  0.0000  0.0000
Os  0.5000  0.0000  0.5000
Ru  0.5000  0.0000  0.0000
Ru  0.5000  0.5000  0.5000
Pb  0.2033  0.4533  0.7500
Pb  0.7967  0.5467  0.2500
O  0.1769  0.3166  0.2516
O  0.1769  0.9254  0.8603
O  0.1881  0.9381  0.2500
O  0.4248  0.6748  0.7500
O  0.4350  0.0746  0.7516
O  0.4350  0.6834  0.3603
O  0.5650  0.3166  0.6397
O  0.5650  0.9254  0.2484
O  0.5752  0.3252  0.2500
O  0.8119  0.0619  0.7500
O  0.8231  0.0746  0.1397
O  0.8231  0.6834  0.7484